TaInSe2Br | PBE | relaxed

The value obtained for the uncorrected formation energy is 915 meV/atom. The offset from the most stable computed form comes out at 1280 meV per atom. The magnetization is 0.548 μB per atom.

The space group is P4/mmm (No. 123) and the conventional cell measures 5.2446, 5.2446 and 5.1519 Å, with angles of 90.00, 90.00 and 90.00 degrees. The distinct sites, in fractional coordinates, are Ta at (0.0000, 0.0000, 0.0000), In at (0.5000, 0.5000, 0.5000), Se at (0.0000, 0.5000, 0.5000) and Br at (0.5000, 0.5000, 0.0000).


SrLaTlHg | PBE | relaxed

Its calculated formation energy is -1.90 eV per formula unit. The magnetization is 0.000 μB per atom.

The space group is F-43m (No. 216) and the conventional cell measures 7.9882, 7.9882 and 7.9882 Å, with angles of 90.00, 90.00 and 90.00 degrees. The distinct sites, in fractional coordinates, are Sr at (0.0000, 0.0000, 0.0000), La at (0.0000, 0.0000, 0.5000), Tl at (0.2500, 0.2500, 0.2500) and Hg at (0.2500, 0.2500, 0.7500).


Li4Ca2Cd5 | PBE | relaxed

Its calculated formation energy is -1.97 eV per formula unit. The magnetization is 0.000 μB per atom.

The space group is C2/m (No. 12) and the conventional cell measures 12.9788, 5.9546 and 8.8643 Å, with angles of 90.00, 132.92 and 90.00 degrees. The distinct sites, in fractional coordinates, are Li at (0.2453, 0.0000, 0.0820), Li at (0.2459, 0.0000, 0.4072), Ca at (0.2002, 0.5000, 0.2011), Cd at (0.0000, 0.0000, 0.0000) and Cd at (0.9998, 0.2498, 0.3130).


PuZrN2 | PBE | relaxed

The value obtained for the uncorrected formation energy is -1313 meV/atom. The magnetization is 1.289 μB per atom.

The space group is R3m (No. 160, hexagonal axes) and the conventional cell measures 3.2874, 3.2874 and 17.6554 Å, with angles of 90.00, 90.00 and 120.00 degrees. The distinct sites, in fractional coordinates, are Pu at (0.0000, 0.0000, 0.0000), Zr at (0.0000, 0.0000, 0.1730), N at (0.0000, 0.0000, 0.5794) and N at (0.0000, 0.0000, 0.7640).


AcPrCu2O5 | PBE | relaxed

The value obtained for the uncorrected formation energy is -2063 meV/atom. The magnetization is 0.000 μB per atom.

The space group is P4/mmm (No. 123) and the conventional cell measures 3.9517, 3.9517 and 7.3848 Å, with angles of 90.00, 90.00 and 90.00 degrees. The distinct sites, in fractional coordinates, are Ac at (0.0000, 0.0000, 0.0000), Pr at (0.0000, 0.0000, 0.5000), Cu at (0.5000, 0.5000, 0.2806), O at (0.0000, 0.5000, 0.2874) and O at (0.5000, 0.5000, 0.0000).


Sn2HgO | PBE | relaxed

The value obtained for the uncorrected formation energy is 109 meV/atom. The offset from the most stable computed form comes out at 435 meV per atom. The magnetization is 0.000 μB per atom.

The space group is Fm-3m (No. 225) and the conventional cell measures 6.9216, 6.9216 and 6.9216 Å, with angles of 90.00, 90.00 and 90.00 degrees. The distinct sites, in fractional coordinates, are Sn at (0.2500, 0.2500, 0.2500), Hg at (0.0000, 0.0000, 0.0000) and O at (0.0000, 0.0000, 0.5000).


Tm4InCu | PBE | relaxed

Its calculated formation energy is -1.39 eV per formula unit. The offset from the most stable computed form comes out at 0 meV per atom. The magnetization is 0.000 μB per atom.

The space group is P2_1/m (No. 11) and the conventional cell measures 5.2849, 6.9229 and 8.5442 Å, with angles of 90.00, 99.30 and 90.00 degrees. The distinct sites, in fractional coordinates, are Tm at (0.1484, 0.2500, 0.0502), Tm at (0.2152, 0.7500, 0.3706), Tm at (0.3177, 0.5138, 0.7467), In at (0.2296, 0.2500, 0.4191) and Cu at (0.3626, 0.7500, 0.0513).


Co3SiBi | PBE | relaxed

The value obtained for the uncorrected formation energy is 1687 meV/atom. The offset from the most stable computed form comes out at 1271 meV per atom. The magnetization is 0.750 μB per atom.

The space group is Pm-3m (No. 221) and the conventional cell measures 4.7717, 4.7717 and 4.7717 Å, with angles of 90.00, 90.00 and 90.00 degrees. The distinct sites, in fractional coordinates, are Co at (0.0000, 0.0000, 0.5000), Si at (0.5000, 0.5000, 0.5000) and Bi at (0.0000, 0.0000, 0.0000).


CaP2OsRu | PBE | relaxed

Its calculated formation energy is -3.94 eV per formula unit. The magnetization is 0.000 μB per atom.

The space group is I-4m2 (No. 119) and the conventional cell measures 4.0917, 4.0917 and 9.8171 Å, with angles of 90.00, 90.00 and 90.00 degrees. The distinct sites, in fractional coordinates, are Ca at (0.0000, 0.0000, 0.0000), P at (0.0000, 0.0000, 0.3672), Os at (0.0000, 0.5000, 0.7500) and Ru at (0.0000, 0.5000, 0.2500).


PdCN | PBE | relaxed

The value obtained for the uncorrected formation energy is 662 meV/atom. The offset from the most stable computed form comes out at 232 meV per atom. The magnetization is 0.000 μB per atom.

The space group is P2_1/c (No. 14) and the conventional cell measures 6.5103, 4.1624 and 4.8056 Å, with angles of 90.00, 102.59 and 90.00 degrees. The distinct sites, in fractional coordinates, are Pd at (0.1363, 0.1206, 0.2778), C at (0.4282, 0.1589, 0.8401) and N at (0.4594, 0.6895, 0.3558).


HoErGe | PBE | relaxed

Its calculated formation energy is -1.33 eV per formula unit. The offset from the most stable computed form comes out at 204 meV per atom. The magnetization is 0.000 μB per atom.

The space group is I4mm (No. 107) and the conventional cell measures 3.4415, 3.4415 and 12.9492 Å, with angles of 90.00, 90.00 and 90.00 degrees. The distinct sites, in fractional coordinates, are Ho at (0.0000, 0.0000, 0.0000), Er at (0.0000, 0.0000, 0.7155) and Ge at (0.0000, 0.0000, 0.3571).


TbHoTh2Bi5 | PBE | relaxed

Its calculated formation energy is 0.59 eV per formula unit. The magnetization is 0.000 μB per atom.

The space group is P4/mmm (No. 123) and the conventional cell measures 5.4332, 5.4332 and 11.7114 Å, with angles of 90.00, 90.00 and 90.00 degrees. The distinct sites, in fractional coordinates, are Tb at (0.0000, 0.0000, 0.0000), Ho at (0.0000, 0.0000, 0.5000), Th at (0.5000, 0.5000, 0.2017), Bi at (0.0000, 0.0000, 0.2537), Bi at (0.0000, 0.5000, 0.0000) and Bi at (0.5000, 0.5000, 0.5000).


LaScRe | PBE | relaxed

Its calculated formation energy is 1.25 eV per formula unit. The offset from the most stable computed form comes out at 262 meV per atom. The magnetization is 0.000 μB per atom.

The space group is Imm2 (No. 44) and the conventional cell measures 2.9467, 5.0046 and 8.6941 Å, with angles of 90.00, 90.00 and 90.00 degrees. The distinct sites, in fractional coordinates, are La at (0.0000, 0.0000, 0.0000), Sc at (0.0000, 0.0000, 0.3265) and Re at (0.0000, 0.0000, 0.6700).


TaTl2Br | PBE | relaxed

The value obtained for the uncorrected formation energy is 230 meV/atom. The offset from the most stable computed form comes out at 165 meV per atom. The magnetization is 0.000 μB per atom.

The space group is P4mm (No. 99) and the conventional cell measures 3.2026, 3.2026 and 10.1249 Å, with angles of 90.00, 90.00 and 90.00 degrees. The distinct sites, in fractional coordinates, are Ta at (0.0000, 0.0000, 0.0000), Tl at (0.0000, 0.0000, 0.4731), Tl at (0.5000, 0.5000, 0.2150) and Br at (0.5000, 0.5000, 0.8393).


CsDyNiCl6 | PBE | relaxed

The value obtained for the uncorrected formation energy is -1665 meV/atom. The magnetization is 0.231 μB per atom.

The space group is P312 (No. 149) and the conventional cell measures 6.6425, 6.6425 and 7.8397 Å, with angles of 90.00, 90.00 and 120.00 degrees. The distinct sites, in fractional coordinates, are Cs at (0.0000, 0.0000, 0.0000), Dy at (0.6667, 0.3333, 0.5000), Ni at (0.3333, 0.6667, 0.5000) and Cl at (0.0244, 0.3858, 0.6844).